Entry 1:
Compound: HoZrSnC
Source: OQMD
Functional: GGA-PBE
Structure: relaxed

The space group is P6_3mc (No. 186) and the conventional cell measures 3.4684, 3.4684 and 15.2685 Å, with angles of 90.00, 90.00 and 120.00 degrees. The asymmetric unit holds Ho at (0.3333, 0.6667, 0.0000), Zr at (0.3333, 0.6667, 0.6700), Sn at (0.3333, 0.6667, 0.3288) and C at (0.0000, 0.0000, 0.0930).

For the polymorph energy (0 for the lowest one), the calculation gives 0.0000 eV/atom. The volume is 19.88 A^3/atom.


Entry 2:
Compound: HoZrSnC
Source: OQMD
Functional: GGA-PBE
Structure: relaxed

The space group is P-3m1 (No. 164) and the conventional cell measures 3.4846, 3.4846 and 15.2422 Å, with angles of 90.00, 90.00 and 120.00 degrees. The asymmetric unit holds Ho at (0.3333, 0.6667, 0.4117), Zr at (0.3333, 0.6667, 0.0806), Sn at (0.3333, 0.6667, 0.7616), C at (0.0000, 0.0000, 0.0000) and C at (0.0000, 0.0000, 0.5000).

For the polymorph energy (0 for the lowest one), the calculation gives 0.0328 eV/atom. The volume is 20.03 A^3/atom.